1.
! PBE with a Hubbard U CrFe3O, relaxed; values from VASP
&SYSTEM
  ibrav = 0, nat = 5, ntyp = 3
/
ATOMIC_SPECIES
Cr 52.00 Cr.upf
Fe 55.84 Fe.upf
O 16.00 O.upf
CELL_PARAMETERS angstrom
-2.2949 2.2512 -2.8158
-3.0440 0.5784 2.9433
1.9315 3.5862 1.2929
ATOMIC_POSITIONS crystal
Cr 0.5000 0.5000 0.5000
Fe 0.0000 0.5000 0.0000
Fe 0.0000 0.0000 0.5000
Fe 0.5000 0.0000 0.0000
O 0.0000 0.0000 0.0000
! Space group: Pm-3m
! E in eV/f.u.: -27.97

***

2.
! PBE with a Hubbard U CrFeO3, relaxed; values from VASP
&SYSTEM
  ibrav = 0, nat = 5, ntyp = 3
/
ATOMIC_SPECIES
Cr 52.00 Cr.upf
Fe 55.84 Fe.upf
O 16.00 O.upf
CELL_PARAMETERS angstrom
-0.7828 -3.5443 0.1474
0.7303 -0.3087 -3.5451
3.4714 -0.7343 0.7791
ATOMIC_POSITIONS crystal
Cr 0.5000 0.5000 0.5000
Fe 0.0000 0.0000 0.0000
O 0.0000 0.5000 0.0000
O 0.0000 0.0000 0.5000
O 0.5000 0.0000 0.0000
! Space group: Pm-3m
! E in eV/f.u.: -27.26

***

3.
! PBE with a Hubbard U CrFe3O, relaxed; values from VASP
&SYSTEM
  ibrav = 0, nat = 5, ntyp = 3
/
ATOMIC_SPECIES
Cr 52.00 Cr.upf
Fe 55.84 Fe.upf
O 16.00 O.upf
CELL_PARAMETERS angstrom
4.6813 0.0000 0.0000
0.0000 4.6813 0.0000
0.0000 0.0000 4.6813
ATOMIC_POSITIONS crystal
Cr 0.0000 0.0000 0.0000
Fe 0.0000 0.5000 0.0000
Fe 0.0000 0.0000 0.5000
Fe 0.5000 0.0000 0.0000
O 0.5000 0.5000 0.5000
! Space group: Pm-3m
! E in eV/f.u.: -19.73

***

4.
! PBE with a Hubbard U Cr2FeO4, relaxed; values from VASP
&SYSTEM
  ibrav = 0, nat = 14, ntyp = 3
/
ATOMIC_SPECIES
Cr 52.00 Cr.upf
Fe 55.84 Fe.upf
O 16.00 O.upf
CELL_PARAMETERS angstrom
-4.0080 -2.2768 3.8351
-1.4530 5.6691 1.3060
-0.3084 -1.8548 -5.6939
ATOMIC_POSITIONS crystal
Cr 0.6210 0.8710 0.7500
Cr 0.3790 0.1290 0.2500
Cr 0.0000 0.5000 0.0000
Cr 0.0000 0.0000 0.5000
Fe 0.0000 0.5000 0.5000
Fe 0.5000 0.5000 0.0000
O 0.2478 0.7366 0.9887
O 0.7726 0.2404 0.5321
O 0.2478 0.2591 0.5113
O 0.2083 0.2404 0.9679
O 0.7917 0.7596 0.0321
O 0.7522 0.7409 0.4887
O 0.2274 0.7596 0.4679
O 0.7522 0.2634 0.0113
! Space group: Imma
! E in eV/f.u.: -52.02

***

Which formula does entry 2 have?
CrFeO3

***

Please write out number 3 again, unchanged.
! PBE with a Hubbard U CrFe3O, relaxed; values from VASP
&SYSTEM
  ibrav = 0, nat = 5, ntyp = 3
/
ATOMIC_SPECIES
Cr 52.00 Cr.upf
Fe 55.84 Fe.upf
O 16.00 O.upf
CELL_PARAMETERS angstrom
4.6813 0.0000 0.0000
0.0000 4.6813 0.0000
0.0000 0.0000 4.6813
ATOMIC_POSITIONS crystal
Cr 0.0000 0.0000 0.0000
Fe 0.0000 0.5000 0.0000
Fe 0.0000 0.0000 0.5000
Fe 0.5000 0.0000 0.0000
O 0.5000 0.5000 0.5000
! Space group: Pm-3m
! E in eV/f.u.: -19.73

***

Which of these has the highest E?
number 3